Entry from the Alexandria database: an optimized crystal structure of Pa2InRe (PBE-GGA).

Lattice parameters (Å, degrees): 4.369 4.469 4.469 90.00 90.00 90.00
Fractional positions:
Re 0.500 0.500 0.500
Pa 0.000 0.000 0.500
Pa 0.000 0.500 0.000
In 0.500 0.000 0.000

Calculated values
**Total moment**: 0.0 μB per formula unit
**Symmetry**: P4/mmm, No. 123
**Offset from the most stable computed form**: 212.6 meV/atom
**ΔH_f (0 K)**: 0.070 eV per atom
**Density of states at the Fermi level**: 1.18 states/eV/atom